# V2SeClF

V2SeClF after structural relaxation (PBE+U, Alexandria).

Output
E_tot ... -4.30 eV per atom
Calculated density ... 3.78 g/cm3

a = 4.467 Å, b = 5.178 Å, c = 4.467 Å
α = 90.00°, β = 90.00°, γ = 90.00°
Fractional positions:
V: 0.000 0.000 0.500
V: 0.500 0.000 0.000
F: 0.000 0.000 0.000
Se: 0.000 0.500 0.000
Cl: 0.500 0.500 0.500